(1)
First-principles (PBE) data for a relaxed Ho4IrRh3 crystal, as listed in Alexandria.

## Properties
spin magnetization = 0.00 μB/f.u.
energy of formation from the pure elements = -0.9027 eV/atom

Unit cell a=4.7603 b=6.9990 c=9.5208 alpha=90.00 beta=90.00 gamma=90.00
Last column: nearest neighbours and their distance in Å.
Element x y z (fractional)
1 Ho 0.9998 0.7489 0.2500  6 Rh 2.95-2.96, 2 Ir 2.95
2 Ho 0.9998 0.2511 0.2500  6 Rh 2.95-2.96, 2 Ir 2.95
3 Ho 0.5000 0.7489 0.5000  2 Ir 2.95, 6 Rh 2.95-2.96
4 Ho 0.5000 0.2511 0.0000  2 Ir 2.95, 6 Rh 2.95-2.96
5 Ho 0.0002 0.2511 0.7500  6 Rh 2.95-2.96, 2 Ir 2.95
6 Ho 0.5000 0.7489 0.0000  2 Ir 2.95, 6 Rh 2.95-2.96
7 Ho 0.0002 0.7489 0.7500  6 Rh 2.95-2.96, 2 Ir 2.95
8 Ho 0.5000 0.2511 0.5000  2 Ir 2.95, 6 Rh 2.95-2.96
9 Rh 0.5002 0.5000 0.7500  8 Ho 2.95
10 Rh 0.0000 0.0000 0.0000  8 Ho 2.96
11 Rh 0.0000 0.0000 0.5000  8 Ho 2.96
12 Rh 0.4997 0.0000 0.2500  8 Ho 2.96
13 Rh 0.4998 0.5000 0.2500  8 Ho 2.95
14 Rh 0.5003 0.0000 0.7500  8 Ho 2.96
15 Ir 0.0000 0.5000 0.0000  8 Ho 2.95
16 Ir 0.0000 0.5000 0.5000  8 Ho 2.95

***

(2)
First-principles (PBE) data for a relaxed Be3AuC crystal, as listed in Alexandria.

## Properties
ΔE to the lowest computed polymorph = 1.565 eV/atom
spin magnetization = 0.66 μB/f.u.
energy of formation from the pure elements = 1.7481 eV/atom

Unit cell a=4.2889 b=4.2889 c=4.2889 alpha=90.00 beta=90.00 gamma=90.00
Last column: nearest neighbours and their distance in Å.
Element x y z (fractional)
1 C 0.5000 0.5000 0.5000  12 Be 3.03
2 Be 0.0000 0.5000 0.0000  2 Au 2.14
3 Be 0.0000 0.0000 0.5000  2 Au 2.14
4 Be 0.5000 0.0000 0.0000  2 Au 2.14
5 Au 0.0000 0.0000 0.0000  6 Be 2.14

***

(3)
First-principles (PBE) data for a relaxed ScTeIr crystal, as listed in Alexandria.

## Properties
spin magnetization = 0.00 μB/f.u.
formation energy (no corrections) = -0.37 eV per atom

Unit cell a=6.1531 b=6.1531 c=3.2712 alpha=74.58 beta=74.58 gamma=30.83
Last column: nearest neighbours and their distance in Å.
Element x y z (fractional)
1 Ir 0.9841 0.9841 0.0159  4 Sc 2.73, 4 Te 3.06
2 Sc 0.3566 0.3566 0.6434  4 Ir 2.73
3 Te 0.6594 0.6594 0.3406  4 Ir 3.06, 4 Sc 3.23, 4 Te 3.27

***

(4)
First-principles (PBE) data for a relaxed TaTe2H2 crystal, as listed in Alexandria.

## Properties
electronic total energy = -5.05 eV per atom
spin magnetization = 0.00 μB/f.u.

Unit cell a=5.8122 b=6.2707 c=7.0445 alpha=116.43 beta=114.36 gamma=90.00
Last column: nearest neighbours and their distance in Å.
Element x y z (fractional)
1 Ta 0.7500 0.5000 0.0000  4 H 1.94
2 Ta 0.2500 0.5000 0.0000  4 H 1.94
3 H 0.3959 0.3089 0.7919  2 Ta 1.94
4 H 0.8959 0.4830 0.7919  2 Ta 1.94
5 H 0.6041 0.6911 0.2081  2 Ta 1.94
6 H 0.1041 0.5170 0.2081  2 Ta 1.94
7 Te 0.8960 0.0570 0.7920  2 H 2.67-2.81, 2 Ta 2.83
8 Te 0.1040 0.9430 0.2080  2 H 2.67-2.81, 2 Ta 2.83
9 Te 0.3960 0.7349 0.7920  2 H 2.67-2.81, 2 Ta 2.83
10 Te 0.6040 0.2651 0.2080  2 H 2.67-2.81, 2 Ta 2.83

***

(5)
First-principles (PBE) data for a relaxed CaMg2 crystal, as listed in Alexandria.

## Properties
spin magnetization = 0.00 μB/f.u.
energy of formation from the pure elements = -0.0248 eV/atom

Unit cell a=6.3449 b=6.3449 c=7.8956 alpha=71.28 beta=71.28 gamma=35.11
Last column: nearest neighbours and their distance in Å.
Element x y z (fractional)
1 Mg 0.1552 0.1552 0.9521  6 Mg 3.13-3.27, 3 Ca 3.47-3.49
2 Mg 0.8448 0.8448 0.0479  6 Mg 3.13-3.27, 3 Ca 3.47-3.49
3 Mg 0.5227 0.5227 0.7722  5 Mg 3.13-3.45, 4 Ca 3.47
4 Mg 0.4773 0.4773 0.2278  5 Mg 3.13-3.45, 4 Ca 3.47
5 Ca 0.1585 0.1585 0.3923  8 Mg 3.47-3.63, 5 Ca 3.64-3.83
6 Ca 0.8415 0.8415 0.6077  8 Mg 3.47-3.63, 5 Ca 3.64-3.83

***

(6)
First-principles (PBE) data for a relaxed MgZrPa2N5 crystal, as listed in Alexandria.

## Properties
spin magnetization = 0.00 μB/f.u.
formation energy (no corrections) = -1.36 eV per atom

Unit cell a=3.4153 b=7.0233 c=10.4902 alpha=90.00 beta=90.00 gamma=104.07
Last column: nearest neighbours and their distance in Å.
Element x y z (fractional)
1 N 0.2849 0.5698 0.6512  3 Pa 2.19-2.38, 2 Zr 2.39
2 N 0.4868 0.9736 0.7831  1 Mg 2.12, 2 Pa 2.31
3 N 0.6319 0.2638 0.5498  1 Mg 2.12, 1 Zr 2.15, 2 Pa 2.31
4 N 0.2985 0.5971 0.3474  2 Zr 2.29, 3 Pa 2.53-2.54
5 N 0.7015 0.4029 0.8474  2 Zr 2.29, 3 Pa 2.53-2.54
6 N 0.5132 0.0264 0.2831  1 Mg 2.12, 2 Pa 2.31
7 N 0.0661 0.1321 0.0623  2 Mg 2.03, 1 Zr 2.18, 1 Pa 2.21
8 N 0.3681 0.7362 0.0498  1 Mg 2.12, 1 Zr 2.15, 2 Pa 2.31
9 N 0.7151 0.4302 0.1512  3 Pa 2.19-2.38, 2 Zr 2.39
10 N 0.9339 0.8679 0.5623  2 Mg 2.03, 1 Zr 2.18, 1 Pa 2.21
11 Zr 0.2166 0.4332 0.9921  6 N 2.15-2.39
12 Zr 0.7834 0.5668 0.4921  6 N 2.15-2.39
13 Pa 0.1252 0.2504 0.2581  5 N 2.21-2.38
14 Pa 0.8721 0.7442 0.1980  3 N 2.19-2.31
15 Pa 0.8748 0.7496 0.7581  5 N 2.21-2.38
16 Pa 0.1279 0.2558 0.6980  3 N 2.19-2.31
17 Mg 0.4857 0.9714 0.4819  4 N 2.03-2.12
18 Mg 0.5143 0.0286 0.9819  4 N 2.03-2.12

***

(7)
First-principles (PBE) data for a relaxed K5Cu3O3 crystal, as listed in Alexandria.

## Properties
spin magnetization = 0.28 μB/f.u.
formation energy (no corrections) = -0.66 eV per atom

Unit cell a=3.7496 b=8.9094 c=8.9094 alpha=120.00 beta=90.00 gamma=90.00
Last column: nearest neighbours and their distance in Å.
Element x y z (fractional)
1 K 0.5000 0.7519 0.0000  2 O 2.94
2 K 0.5000 0.6667 0.3333  3 O 2.80
3 K 0.5000 0.3333 0.6667  3 O 2.80
4 K 0.5000 0.2481 0.2481  2 O 2.94
5 K 0.5000 0.0000 0.7519  2 O 2.94
6 O 0.5000 0.0000 0.3750  2 Cu 1.87
7 O 0.5000 0.6250 0.6250  2 Cu 1.87
8 O 0.5000 0.3750 0.0000  2 Cu 1.87
9 Cu 0.0000 0.0000 0.3760  2 O 1.87
10 Cu 0.0000 0.3760 0.0000  2 O 1.87
11 Cu 0.0000 0.6240 0.6240  2 O 1.87

***

(8)
First-principles (PBE) data for a relaxed V6FeOs crystal, as listed in Alexandria.

## Properties
ΔE to the lowest computed polymorph = 0.005 eV/atom
spin magnetization = 0.00 μB/f.u.
energy of formation from the pure elements = -0.2374 eV/atom

Unit cell a=4.1833 b=5.1268 c=5.1268 alpha=109.29 beta=90.00 gamma=90.00
Last column: nearest neighbours and their distance in Å.
Element x y z (fractional)
1 V 0.5000 0.8701 0.6210  2 Fe 2.54-2.59, 4 V 2.54-2.59, 2 Os 2.58
2 V 0.0000 0.1253 0.3751  2 Os 2.56-2.57, 4 V 2.56-2.57, 2 Fe 2.56
3 V 0.5000 0.3790 0.1299  2 Fe 2.54-2.59, 4 V 2.54-2.59, 2 Os 2.58
4 V 0.0000 0.6249 0.8747  2 Os 2.56-2.57, 4 V 2.56-2.57, 2 Fe 2.56
5 V 0.5000 0.8733 0.1267  8 V 2.54-2.59
6 V 0.0000 0.6256 0.3744  8 V 2.55-2.57
7 Os 0.0000 0.1254 0.8746  8 V 2.56-2.58
8 Fe 0.5000 0.3761 0.6239  8 V 2.54-2.59

***

(9)
First-principles (PBE) data for a relaxed TiAg2Cl5 crystal, as listed in Alexandria.

## Properties
spin magnetization = 1.00 μB/f.u.
formation energy (no corrections) = -0.97 eV per atom

Unit cell a=4.7677 b=7.3389 c=13.1275 alpha=90.00 beta=90.00 gamma=108.95
Last column: nearest neighbours and their distance in Å.
Element x y z (fractional)
1 Ag 0.8702 0.7404 0.4311  4 Cl 2.60-2.74
2 Ag 0.8702 0.7404 0.0689  4 Cl 2.60-2.74
3 Ag 0.1298 0.2596 0.9311  4 Cl 2.60-2.74
4 Ag 0.1298 0.2596 0.5689  4 Cl 2.60-2.74
5 Cl 0.9380 0.8760 0.8805  1 Ti 2.40, 1 Ag 2.65
6 Cl 0.6893 0.3786 0.6166  1 Ti 2.49, 2 Ag 2.60
7 Cl 0.3107 0.6214 0.3834  1 Ti 2.49, 2 Ag 2.60
8 Cl 0.3107 0.6214 0.1166  1 Ti 2.49, 2 Ag 2.60
9 Cl 0.0620 0.1240 0.1195  1 Ti 2.40, 1 Ag 2.65
10 Cl 0.6893 0.3786 0.8834  1 Ti 2.49, 2 Ag 2.60
11 Cl 0.9380 0.8760 0.6195  1 Ti 2.40, 1 Ag 2.65
12 Cl 0.6913 0.3825 0.2500  2 Ti 2.39
13 Cl 0.0620 0.1240 0.3805  1 Ti 2.40, 1 Ag 2.65
14 Cl 0.3087 0.6175 0.7500  2 Ti 2.39
15 Ti 0.8173 0.6346 0.7500  6 Cl 2.39-2.49
16 Ti 0.1827 0.3654 0.2500  6 Cl 2.39-2.49

***

(10)
First-principles (PBE) data for a relaxed SrUNi10 crystal, as listed in Alexandria.

## Properties
spin magnetization = 1.47 μB/f.u.
energy of formation from the pure elements = -0.1353 eV/atom

Unit cell a=3.9882 b=4.9415 c=8.4916 alpha=90.00 beta=90.00 gamma=90.00
Last column: nearest neighbours and their distance in Å.
Element x y z (fractional)
1 Ni 0.5000 0.5000 0.0000  8 Ni 2.53-2.57
2 Ni 0.0000 0.0000 0.3442  7 Ni 2.39-2.65
3 Ni 0.0000 0.0000 0.6558  7 Ni 2.39-2.65
4 Ni 0.0000 0.5000 0.1907  6 Ni 2.41-2.57, 1 U 2.63
5 Ni 0.5000 0.7425 0.2627  8 Ni 2.38-2.55
6 Ni 0.0000 0.5000 0.8093  6 Ni 2.41-2.57, 1 U 2.63
7 Ni 0.5000 0.0000 0.5000  8 Ni 2.38-2.39
8 Ni 0.5000 0.2575 0.2627  8 Ni 2.38-2.55
9 Ni 0.5000 0.7425 0.7373  8 Ni 2.38-2.55
10 Ni 0.5000 0.2575 0.7373  8 Ni 2.38-2.55
11 U 0.0000 0.5000 0.5000  6 Ni 2.63-2.80
12 Sr 0.0000 0.0000 0.0000  18 Ni 2.92-3.25

***

(11)
First-principles (PBE) data for a relaxed PuAgBi2 crystal, as listed in Alexandria.

## Properties
ΔE to the lowest computed polymorph = 0.169 eV/atom
spin magnetization = 5.96 μB/f.u.
energy of formation from the pure elements = -0.0480 eV/atom

Unit cell a=3.4478 b=3.4478 c=9.1953 alpha=90.00 beta=90.00 gamma=90.00
Last column: nearest neighbours and their distance in Å.
Element x y z (fractional)
1 Ag 0.5000 0.5000 0.0000  8 Bi 3.24, 4 Ag 3.45
2 Bi 0.0000 0.0000 0.7672  4 Ag 3.24, 4 Bi 3.45, 4 Pu 3.46
3 Bi 0.0000 0.0000 0.2328  4 Ag 3.24, 4 Bi 3.45, 4 Pu 3.46
4 Pu 0.5000 0.5000 0.5000  4 Pu 3.45, 8 Bi 3.46